# Cd2S3 PBE-GGA relaxed
data_Cd2S3
_cell_length_a 9.8515
_cell_length_b 5.6553
_cell_length_c 7.6897
_cell_angle_alpha 90.00
_cell_angle_beta 106.93
_cell_angle_gamma 90.00
_symmetry_space_group_name_H-M 'C 1 2/c 1'
_symmetry_Int_Tables_number 15
_symmetry_space_group_name_Hall '-C 2yc'
loop_
_atom_site_label
_atom_site_type_symbol
_atom_site_fract_x
_atom_site_fract_y
_atom_site_fract_z
_atom_site_occupancy
Cd1 Cd 0.1154 0.1947 0.1079 1
S1 S 0.0000 0.1546 0.7500 1
S2 S 0.1843 0.3902 0.4300 1
# Uncorrected energy: -3.1239 eV/atom